Entry i
# Ac3Ga3Ir2

Ac3Ga3Ir2 after structural relaxation (PBE, the Alexandria database).

The structure in CIF format:
```
data_Ac3Ga3Ir2
_space_group_name_H-M_alt 'C m c m'
_space_group_IT_number 63
_space_group_name_Hall '-C 2c 2'
_cell_length_a 4.3135
_cell_length_b 11.5156
_cell_length_c 16.2008
_cell_angle_alpha 90.00
_cell_angle_beta 90.00
_cell_angle_gamma 90.00
loop_
_atom_site_label
_atom_site_fract_x
_atom_site_fract_y
_atom_site_fract_z
_atom_site_occupancy
Ac1 0.0000 0.0610 0.1059 1
Ac2 0.0000 0.3409 0.2500 1
Ga1 0.0000 0.3345 0.0341 1
Ga2 0.0000 0.3630 0.7500 1
Ir1 0.0000 0.2278 0.6126 1
```

Entry ii
# Ac3Ga3Ir2

Ac3Ga3Ir2 after structural relaxation (PBE, the Alexandria database).

The structure in CIF format:
```
data_Ac3Ga3Ir2
_space_group_name_H-M_alt 'C m c m'
_space_group_IT_number 63
_space_group_name_Hall '-C 2c 2'
_cell_length_a 4.1581
_cell_length_b 11.9797
_cell_length_c 16.8876
_cell_angle_alpha 90.00
_cell_angle_beta 90.00
_cell_angle_gamma 90.00
loop_
_atom_site_label
_atom_site_fract_x
_atom_site_fract_y
_atom_site_fract_z
_atom_site_occupancy
Ac1 0.0000 0.0736 0.2500 1
Ac2 0.0000 0.3437 0.0898 1
Ga1 0.0000 0.0690 0.0584 1
Ga2 0.0000 0.2146 0.7500 1
Ir1 0.0000 0.3452 0.6212 1
```

Which of them is the least stable? Correct choice: entry i.

Entry i
# Ac3GaIr3

Ac3GaIr3 after structural relaxation (PBE, the Alexandria database).

The structure in CIF format:
```
data_Ac3GaIr3
_space_group_name_H-M_alt 'P 63/m'
_space_group_IT_number 176
_space_group_name_Hall '-P 6c'
_cell_length_a 8.9494
_cell_length_b 8.9494
_cell_length_c 6.0033
_cell_angle_alpha 90.00
_cell_angle_beta 90.00
_cell_angle_gamma 120.00
loop_
_atom_site_label
_atom_site_fract_x
_atom_site_fract_y
_atom_site_fract_z
_atom_site_occupancy
Ac1 0.0577 0.3549 0.2500 1
Ga1 0.3333 0.6667 0.7500 1
Ir1 0.0679 0.3833 0.7500 1
```

Entry ii
# Ac3GaIr3

Ac3GaIr3 after structural relaxation (PBE, the Alexandria database).

The structure in CIF format:
```
data_Ac3GaIr3
_space_group_name_H-M_alt 'C m c m'
_space_group_IT_number 63
_space_group_name_Hall '-C 2c 2'
_cell_length_a 4.2630
_cell_length_b 11.2028
_cell_length_c 14.6956
_cell_angle_alpha 90.00
_cell_angle_beta 90.00
_cell_angle_gamma 90.00
loop_
_atom_site_label
_atom_site_fract_x
_atom_site_fract_y
_atom_site_fract_z
_atom_site_occupancy
Ac1 0.0000 0.0127 0.2500 1
Ac2 0.0000 0.2874 0.1068 1
Ga1 0.0000 0.0000 0.0000 1
Ir1 0.0000 0.2747 0.7500 1
Ir2 0.0000 0.4283 0.5854 1
```

Which of them is the least stable? Correct choice: entry i.

Entry i
# Ac2Ga3Ir2

Ac2Ga3Ir2 after structural relaxation (PBE, the Alexandria database).

The structure in CIF format:
```
data_Ac2Ga3Ir2
_space_group_name_H-M_alt 'C 1 2/m 1'
_space_group_IT_number 12
_cell_length_a 11.0927
_cell_length_b 4.1869
_cell_length_c 7.5914
_cell_angle_alpha 90.00
_cell_angle_beta 117.72
_cell_angle_gamma 90.00
loop_
_space_group_symop_operation_xyz
'x,y,z'
'-x,-y,-z'
'-x,y,-z'
'x,-y,z'
'x+1/2,y+1/2,z'
'-x+1/2,-y+1/2,-z'
'-x+1/2,y+1/2,-z'
'x+1/2,-y+1/2,z'
loop_
_atom_site_label
_atom_site_fract_x
_atom_site_fract_y
_atom_site_fract_z
_atom_site_occupancy
Ac1 0.1392 0.0000 0.2646 1
Ga1 0.0000 0.5000 0.5000 1
Ga2 0.1497 0.5000 0.9364 1
Ir1 0.1327 0.0000 0.7042 1
```

Entry ii
# Ac2Ga3Ir2

Ac2Ga3Ir2 after structural relaxation (PBE, the Alexandria database).

The structure in CIF format:
```
data_Ac2Ga3Ir2
_space_group_name_H-M_alt 'C m c m'
_space_group_IT_number 63
_space_group_name_Hall '-C 2c 2'
_cell_length_a 4.5552
_cell_length_b 19.2568
_cell_length_c 7.1781
_cell_angle_alpha 90.00
_cell_angle_beta 90.00
_cell_angle_gamma 90.00
loop_
_atom_site_label
_atom_site_fract_x
_atom_site_fract_y
_atom_site_fract_z
_atom_site_occupancy
Ac1 0.0000 0.0621 0.2500 1
Ac2 0.0000 0.1635 0.7500 1
Ga1 0.0000 0.2247 0.2500 1
Ga2 0.0000 0.4392 0.0735 1
Ir1 0.0000 0.3129 0.5537 1
```

Which of them is the least stable? Correct choice: entry ii.

Entry i
# Ac4Ga2Ir

Ac4Ga2Ir after structural relaxation (PBE, the Alexandria database).

The structure in CIF format:
```
data_Ac4Ga2Ir
_space_group_name_H-M_alt 'I 4/m m m'
_space_group_IT_number 139
_space_group_name_Hall '-I 4 2'
_cell_length_a 5.7586
_cell_length_b 5.7586
_cell_length_c 15.7432
_cell_angle_alpha 90.00
_cell_angle_beta 90.00
_cell_angle_gamma 90.00
loop_
_atom_site_label
_atom_site_fract_x
_atom_site_fract_y
_atom_site_fract_z
_atom_site_occupancy
Ac1 0.0000 0.0000 0.1886 1
Ac2 0.0000 0.5000 0.0000 1
Ga1 0.0000 0.0000 0.3862 1
Ir1 0.0000 0.0000 0.0000 1
```

Entry ii
# Ac4Ga2Ir

Ac4Ga2Ir after structural relaxation (PBE, the Alexandria database).

The structure in CIF format:
```
data_Ac4Ga2Ir
_space_group_name_H-M_alt 'C 1 2/m 1'
_space_group_IT_number 12
_cell_length_a 17.4834
_cell_length_b 4.3260
_cell_length_c 6.7535
_cell_angle_alpha 90.00
_cell_angle_beta 110.36
_cell_angle_gamma 90.00
loop_
_space_group_symop_operation_xyz
'x,y,z'
'-x,-y,-z'
'-x,y,-z'
'x,-y,z'
'x+1/2,y+1/2,z'
'-x+1/2,-y+1/2,-z'
'-x+1/2,y+1/2,-z'
'x+1/2,-y+1/2,z'
loop_
_atom_site_label
_atom_site_fract_x
_atom_site_fract_y
_atom_site_fract_z
_atom_site_occupancy
Ac1 0.0943 0.0000 0.2296 1
Ac2 0.1243 0.5000 0.7400 1
Ga1 0.2397 0.5000 0.3631 1
Ir1 0.0000 0.0000 0.5000 1
```

Which of them is the least stable? Correct choice: entry i.

Entry i
# AcGa4Ir2

AcGa4Ir2 after structural relaxation (PBE, the Alexandria database).

The structure in CIF format:
```
data_AcGa4Ir2
_space_group_name_H-M_alt 'P n m a'
_space_group_IT_number 62
_cell_length_a 17.7082
_cell_length_b 4.2608
_cell_length_c 7.2137
_cell_angle_alpha 90.00
_cell_angle_beta 90.00
_cell_angle_gamma 90.00
loop_
_space_group_symop_operation_xyz
'x,y,z'
'-x,-y,-z'
'-x+1/2,-y,z+1/2'
'x+1/2,y,-z+1/2'
'x+1/2,-y+1/2,-z+1/2'
'-x+1/2,y+1/2,z+1/2'
'-x,y+1/2,-z'
'x,-y+1/2,z'
loop_
_atom_site_label
_atom_site_fract_x
_atom_site_fract_y
_atom_site_fract_z
_atom_site_occupancy
Ac1 0.1155 0.2500 0.0305 1
Ga1 0.0422 0.7500 0.7235 1
Ga2 0.0968 0.2500 0.5022 1
Ga3 0.1858 0.7500 0.3535 1
Ga4 0.2035 0.7500 0.7407 1
Ir1 0.0345 0.7500 0.3506 1
Ir2 0.2351 0.2500 0.5562 1
```

Entry ii
# AcGa4Ir2

AcGa4Ir2 after structural relaxation (PBE, the Alexandria database).

The structure in CIF format:
```
data_AcGa4Ir2
_space_group_name_H-M_alt 'C m m m'
_space_group_IT_number 65
_space_group_name_Hall '-C 2 2'
_cell_length_a 4.4423
_cell_length_b 13.9442
_cell_length_c 4.4055
_cell_angle_alpha 90.00
_cell_angle_beta 90.00
_cell_angle_gamma 90.00
loop_
_atom_site_label
_atom_site_fract_x
_atom_site_fract_y
_atom_site_fract_z
_atom_site_occupancy
Ac1 0.0000 0.0000 0.0000 1
Ga1 0.0000 0.1887 0.5000 1
Ga2 0.0000 0.3110 0.0000 1
Ir1 0.0000 0.4083 0.5000 1
```

Which of them is the least stable? Correct choice: entry ii.

Entry i
# AcGa9Ir2

AcGa9Ir2 after structural relaxation (PBE, the Alexandria database).

The structure in CIF format:
```
data_AcGa9Ir2
_space_group_name_H-M_alt 'I 41/a m d'
_space_group_IT_number 141
_cell_length_a 10.5676
_cell_length_b 10.5676
_cell_length_c 7.7491
_cell_angle_alpha 90.00
_cell_angle_beta 90.00
_cell_angle_gamma 90.00
loop_
_space_group_symop_operation_xyz
'x,y,z'
'-x,-y,-z'
'-y+1/4,x+3/4,z+1/4'
'y+1/4,-x+3/4,-z+1/4'
'-x+1/2,-y,z+1/2'
'x+1/2,y,-z+1/2'
'y+1/4,-x+1/4,z+3/4'
'-y+1/4,x+1/4,-z+3/4'
'x,-y,-z'
'-x,y,z'
'-y+1/4,-x+1/4,-z+3/4'
'y+1/4,x+1/4,z+3/4'
'-x+1/2,y,-z+1/2'
'x+1/2,-y,z+1/2'
'y+1/4,x+3/4,-z+1/4'
'-y+1/4,-x+3/4,z+1/4'
'x+1/2,y+1/2,z+1/2'
'-x+1/2,-y+1/2,-z+1/2'
'-y+3/4,x+1/4,z+3/4'
'y+3/4,-x+1/4,-z+3/4'
'-x,-y+1/2,z'
'x,y+1/2,-z'
'y+3/4,-x+3/4,z+1/4'
'-y+3/4,x+3/4,-z+1/4'
'x+1/2,-y+1/2,-z+1/2'
'-x+1/2,y+1/2,z+1/2'
'-y+3/4,-x+3/4,-z+1/4'
'y+3/4,x+3/4,z+1/4'
'-x,y+1/2,-z'
'x,-y+1/2,z'
'y+3/4,x+1/4,-z+3/4'
'-y+3/4,-x+1/4,z+3/4'
loop_
_atom_site_label
_atom_site_fract_x
_atom_site_fract_y
_atom_site_fract_z
_atom_site_occupancy
Ac1 0.0000 0.2500 0.3750 1
Ga1 0.0000 0.2500 0.8750 1
Ga2 0.1213 0.0444 0.6894 1
Ir1 0.0000 0.0000 0.0000 1
```

Entry ii
# AcGa9Ir2

AcGa9Ir2 after structural relaxation (PBE, the Alexandria database).

The structure in CIF format:
```
data_AcGa9Ir2
_space_group_name_H-M_alt 'P 6/m m m'
_space_group_IT_number 191
_space_group_name_Hall '-P 6 2'
_cell_length_a 8.2587
_cell_length_b 8.2587
_cell_length_c 3.9261
_cell_angle_alpha 90.00
_cell_angle_beta 90.00
_cell_angle_gamma 120.00
loop_
_atom_site_label
_atom_site_fract_x
_atom_site_fract_y
_atom_site_fract_z
_atom_site_occupancy
Ac1 0.0000 0.0000 0.0000 1
Ga1 0.0000 0.5000 0.0000 1
Ga2 0.2026 0.4052 0.5000 1
Ir1 0.3333 0.6667 0.0000 1
```

Which of them is the least stable? Correct choice: entry i.

Entry i
# Ac3Ga4Ir4

Ac3Ga4Ir4 after structural relaxation (PBE, the Alexandria database).

The structure in CIF format:
```
data_Ac3Ga4Ir4
_space_group_name_H-M_alt 'P -1'
_space_group_IT_number 2
_cell_length_a 4.3048
_cell_length_b 4.4885
_cell_length_c 13.2358
_cell_angle_alpha 99.66
_cell_angle_beta 98.12
_cell_angle_gamma 90.15
loop_
_space_group_symop_operation_xyz
'x,y,z'
'-x,-y,-z'
loop_
_atom_site_label
_atom_site_fract_x
_atom_site_fract_y
_atom_site_fract_z
_atom_site_occupancy
Ac1 0.0000 0.0000 0.0000 1
Ac2 0.3399 0.8515 0.7047 1
Ga1 0.1156 0.6008 0.2006 1
Ga2 0.2479 0.2450 0.4956 1
Ir1 0.2047 0.6950 0.3959 1
Ir2 0.4277 0.4496 0.9015 1
```

Entry ii
# Ac3Ga4Ir4

Ac3Ga4Ir4 after structural relaxation (PBE, the Alexandria database).

The structure in CIF format:
```
data_Ac3Ga4Ir4
_space_group_name_H-M_alt 'I m m m'
_space_group_IT_number 71
_space_group_name_Hall '-I 2 2'
_cell_length_a 4.3808
_cell_length_b 4.3973
_cell_length_c 25.6302
_cell_angle_alpha 90.00
_cell_angle_beta 90.00
_cell_angle_gamma 90.00
loop_
_atom_site_label
_atom_site_fract_x
_atom_site_fract_y
_atom_site_fract_z
_atom_site_occupancy
Ac1 0.0000 0.0000 0.0000 1
Ac2 0.0000 0.5000 0.3482 1
Ga1 0.0000 0.0000 0.4474 1
Ga2 0.0000 0.5000 0.2005 1
Ir1 0.0000 0.0000 0.2496 1
Ir2 0.0000 0.5000 0.0995 1
```

Which of them is the least stable? Correct choice: entry i.

Entry i
# Ac3Ga3Ir

Ac3Ga3Ir after structural relaxation (PBE, the Alexandria database).

The structure in CIF format:
```
data_Ac3Ga3Ir
_space_group_name_H-M_alt 'C 1 2/m 1'
_space_group_IT_number 12
_cell_length_a 11.7583
_cell_length_b 4.5217
_cell_length_c 15.2858
_cell_angle_alpha 90.00
_cell_angle_beta 108.12
_cell_angle_gamma 90.00
loop_
_space_group_symop_operation_xyz
'x,y,z'
'-x,-y,-z'
'-x,y,-z'
'x,-y,z'
'x+1/2,y+1/2,z'
'-x+1/2,-y+1/2,-z'
'-x+1/2,y+1/2,-z'
'x+1/2,-y+1/2,z'
loop_
_atom_site_label
_atom_site_fract_x
_atom_site_fract_y
_atom_site_fract_z
_atom_site_occupancy
Ac1 0.0198 0.0000 0.3858 1
Ac2 0.1145 0.0000 0.9197 1
Ac3 0.2376 0.0000 0.2385 1
Ga1 0.0354 0.5000 0.2341 1
Ga2 0.0955 0.5000 0.0743 1
Ga3 0.1770 0.5000 0.5366 1
Ir1 0.2357 0.5000 0.3838 1
```

Entry ii
# Ac3Ga3Ir

Ac3Ga3Ir after structural relaxation (PBE, the Alexandria database).

The structure in CIF format:
```
data_Ac3Ga3Ir
_space_group_name_H-M_alt 'P 63/m'
_space_group_IT_number 176
_space_group_name_Hall '-P 6c'
_cell_length_a 9.1810
_cell_length_b 9.1810
_cell_length_c 6.3411
_cell_angle_alpha 90.00
_cell_angle_beta 90.00
_cell_angle_gamma 120.00
loop_
_atom_site_label
_atom_site_fract_x
_atom_site_fract_y
_atom_site_fract_z
_atom_site_occupancy
Ac1 0.1005 0.7014 0.2500 1
Ga1 0.0984 0.7146 0.7500 1
Ir1 0.3333 0.6667 0.7500 1
```

Which of them is the least stable? Correct choice: entry ii.